1.
DFT (PBE-GGA) results for crystalline La3CuTe at its relaxed geometry.

Geometry as CIF:
```
data_La3CuTe
_chemical_formula_sum 'La3 Cu1 Te1'
_cell_length_a 5.5483
_cell_length_b 5.5483
_cell_length_c 5.5483
_cell_angle_alpha 90.00
_cell_angle_beta 90.00
_cell_angle_gamma 90.00
_space_group_name_H-M_alt 'P m -3 m'
_space_group_IT_number 221
_space_group_name_Hall '-P 4 2 3'
loop_
_atom_site_label
_atom_site_type_symbol
_atom_site_fract_x
_atom_site_fract_y
_atom_site_fract_z
La1 La 0.0000 0.0000 0.5000
Cu1 Cu 0.0000 0.0000 0.0000
Te1 Te 0.5000 0.5000 0.5000
```

Energy above the most stable polymorph in this dataset, kcal/mol of atoms: 0.000
ΔE_f (raw), meV/atom: -279
Density of states at the Fermi level, states/eV per cell: 10.52

2.
DFT (PBE-GGA) results for crystalline BaPr2C at its relaxed geometry.

Geometry as CIF:
```
data_BaPr2C
_chemical_formula_sum 'Ba3 Pr6 C3'
_cell_length_a 3.7883
_cell_length_b 3.7883
_cell_length_c 31.9189
_cell_angle_alpha 90.00
_cell_angle_beta 90.00
_cell_angle_gamma 120.00
_space_group_name_H-M_alt 'R -3 m'
_space_group_IT_number 166
_space_group_name_Hall '-R 3 2"'
loop_
_atom_site_label
_atom_site_type_symbol
_atom_site_fract_x
_atom_site_fract_y
_atom_site_fract_z
Ba1 Ba 0.0000 0.0000 0.0000
Pr1 Pr 0.0000 0.0000 0.1222
C1 C 0.0000 0.0000 0.5000
```

Formation enthalpy at 0 K, meV per atom: 65
Density of states at the Fermi level, states/eV per cell: 16.11

3.
DFT (PBE-GGA) results for crystalline HgOsS2Br at its relaxed geometry.

Geometry as CIF:
```
data_HgOsS2Br
_chemical_formula_sum 'Hg1 Os1 S2 Br1'
_cell_length_a 4.4511
_cell_length_b 4.4511
_cell_length_c 5.8448
_cell_angle_alpha 90.00
_cell_angle_beta 90.00
_cell_angle_gamma 90.00
_space_group_name_H-M_alt 'P 4/m m m'
_space_group_IT_number 123
_space_group_name_Hall '-P 4 2'
loop_
_atom_site_label
_atom_site_type_symbol
_atom_site_fract_x
_atom_site_fract_y
_atom_site_fract_z
Hg1 Hg 0.0000 0.0000 0.0000
Os1 Os 0.0000 0.0000 0.5000
S1 S 0.0000 0.5000 0.5000
Br1 Br 0.5000 0.5000 0.0000
```

ΔE_f (raw), meV/atom: 209
Density of states at the Fermi level, states/eV per cell: 2.55

4.
DFT (PBE-GGA) results for crystalline SrIn3PdRh at its relaxed geometry.

Geometry as CIF:
```
data_SrIn3PdRh
_chemical_formula_sum 'Sr4 In12 Pd4 Rh4'
_cell_length_a 8.5959
_cell_length_b 11.5666
_cell_length_c 6.1803
_cell_angle_alpha 90.00
_cell_angle_beta 90.00
_cell_angle_gamma 90.00
_space_group_name_H-M_alt 'C m c m'
_space_group_IT_number 63
_space_group_name_Hall '-C 2c 2'
loop_
_atom_site_label
_atom_site_type_symbol
_atom_site_fract_x
_atom_site_fract_y
_atom_site_fract_z
Sr1 Sr 0.0000 0.2101 0.2500
In1 In 0.0000 0.3081 0.7500
In2 In 0.2457 0.0000 0.0000
Pd1 Pd 0.0000 0.0771 0.7500
Rh1 Rh 0.0000 0.4681 0.2500
```

Formation enthalpy at 0 K, meV per atom: -347
Density of states at the Fermi level, states/eV per cell: 12.56

5.
DFT (PBE-GGA) results for crystalline ErZrSc2S4 at its relaxed geometry.

Geometry as CIF:
```
data_ErZrSc2S4
_chemical_formula_sum 'Er1 Zr1 Sc2 S4'
_cell_length_a 6.4617
_cell_length_b 3.7305
_cell_length_c 6.5014
_cell_angle_alpha 90.00
_cell_angle_beta 109.52
_cell_angle_gamma 90.00
_space_group_name_H-M_alt 'P 1 2/m 1'
_space_group_IT_number 10
loop_
_space_group_symop_operation_xyz
'x,y,z'
'-x,-y,-z'
'-x,y,-z'
'x,-y,z'
loop_
_atom_site_label
_atom_site_type_symbol
_atom_site_fract_x
_atom_site_fract_y
_atom_site_fract_z
Er1 Er 0.0000 0.0000 0.0000
Zr1 Zr 0.5000 0.5000 0.0000
Sc1 Sc 0.0000 0.5000 0.5000
Sc2 Sc 0.5000 0.0000 0.5000
S1 S 0.2498 0.0000 0.7409
S2 S 0.2569 0.5000 0.2610
```

ΔE_f (raw), meV/atom: -1760
Density of states at the Fermi level, states/eV per cell: 3.82

6.
DFT (PBE-GGA) results for crystalline Ac2LaNbO8 at its relaxed geometry.

Geometry as CIF:
```
data_Ac2LaNbO8
_chemical_formula_sum 'Ac2 La1 Nb1 O8'
_cell_length_a 4.3437
_cell_length_b 7.4658
_cell_length_c 5.6970
_cell_angle_alpha 90.00
_cell_angle_beta 92.10
_cell_angle_gamma 90.00
_space_group_name_H-M_alt 'P 1 2/m 1'
_space_group_IT_number 10
loop_
_space_group_symop_operation_xyz
'x,y,z'
'-x,-y,-z'
'-x,y,-z'
'x,-y,z'
loop_
_atom_site_label
_atom_site_type_symbol
_atom_site_fract_x
_atom_site_fract_y
_atom_site_fract_z
Ac1 Ac 0.0000 0.2472 0.0000
La1 La 0.5000 0.5000 0.5000
Nb1 Nb 0.5000 0.0000 0.5000
O1 O 0.0184 0.5000 0.2518
O2 O 0.0447 0.0000 0.3749
O3 O 0.4759 0.2022 0.7369
```

ΔE_f (raw), meV/atom: -2811
Density of states at the Fermi level, states/eV per cell: 0.00

7.
DFT (PBE-GGA) results for crystalline Pm4SbSe2S at its relaxed geometry.

Geometry as CIF:
```
data_Pm4SbSe2S
_chemical_formula_sum 'Pm16 Sb4 Se8 S4'
_cell_length_a 8.4512
_cell_length_b 8.5134
_cell_length_c 12.0077
_cell_angle_alpha 90.00
_cell_angle_beta 90.00
_cell_angle_gamma 90.00
_space_group_name_H-M_alt 'I m m a'
_space_group_IT_number 74
_space_group_name_Hall '-I 2b 2'
loop_
_atom_site_label
_atom_site_type_symbol
_atom_site_fract_x
_atom_site_fract_y
_atom_site_fract_z
Pm1 Pm 0.0000 0.0151 0.2451
Pm2 Pm 0.2396 0.2500 0.0084
Sb1 Sb 0.0000 0.0000 0.5000
Se1 Se 0.0000 0.0000 0.0000
Se2 Se 0.2500 0.2500 0.7500
S1 S 0.2500 0.2500 0.2500
```

ΔE_f (raw), meV/atom: -1700
Density of states at the Fermi level, states/eV per cell: 13.36

8.
DFT (PBE-GGA) results for crystalline Th2GaNi at its relaxed geometry.

Geometry as CIF:
```
data_Th2GaNi
_chemical_formula_sum 'Th4 Ga2 Ni2'
_cell_length_a 6.0739
_cell_length_b 3.9370
_cell_length_c 8.3899
_cell_angle_alpha 90.00
_cell_angle_beta 109.86
_cell_angle_gamma 90.00
_space_group_name_H-M_alt 'P 1 21/m 1'
_space_group_IT_number 11
loop_
_space_group_symop_operation_xyz
'x,y,z'
'-x,-y,-z'
'-x,y+1/2,-z'
'x,-y+1/2,z'
loop_
_atom_site_label
_atom_site_type_symbol
_atom_site_fract_x
_atom_site_fract_y
_atom_site_fract_z
Th1 Th 0.2069 0.2500 0.4015
Th2 Th 0.2157 0.2500 0.9504
Ga1 Ga 0.3478 0.7500 0.7089
Ni1 Ni 0.3711 0.7500 0.2186
```

Formation enthalpy at 0 K, meV per atom: -433
Density of states at the Fermi level, states/eV per cell: 9.08

9.
DFT (PBE-GGA) results for crystalline YWN3 at its relaxed geometry.

Geometry as CIF:
```
data_YWN3
_chemical_formula_sum 'Y2 W2 N6'
_cell_length_a 3.5313
_cell_length_b 3.5313
_cell_length_c 12.4806
_cell_angle_alpha 90.00
_cell_angle_beta 90.00
_cell_angle_gamma 120.00
_space_group_name_H-M_alt 'P 63/m m c'
_space_group_IT_number 194
_space_group_name_Hall '-P 6c 2c'
loop_
_atom_site_label
_atom_site_type_symbol
_atom_site_fract_x
_atom_site_fract_y
_atom_site_fract_z
Y1 Y 0.0000 0.0000 0.0000
W1 W 0.3333 0.6667 0.2500
N1 N 0.0000 0.0000 0.2500
N2 N 0.3333 0.6667 0.0947
```

ΔE_f (raw), meV/atom: -667
Density of states at the Fermi level, states/eV per cell: 5.06

10.
DFT (PBE-GGA) results for crystalline AlWAu2 at its relaxed geometry.

Geometry as CIF:
```
data_AlWAu2
_chemical_formula_sum 'Al2 W2 Au4'
_cell_length_a 2.8547
_cell_length_b 4.8431
_cell_length_c 9.6570
_cell_angle_alpha 90.00
_cell_angle_beta 90.00
_cell_angle_gamma 90.00
_space_group_name_H-M_alt 'I m m m'
_space_group_IT_number 71
_space_group_name_Hall '-I 2 2'
loop_
_atom_site_label
_atom_site_type_symbol
_atom_site_fract_x
_atom_site_fract_y
_atom_site_fract_z
Al1 Al 0.0000 0.0000 0.0000
W1 W 0.0000 0.0000 0.5000
Au1 Au 0.0000 0.5000 0.2662
```

Formation enthalpy at 0 K, meV per atom: 237
Density of states at the Fermi level, states/eV per cell: 5.07

11.
DFT (PBE-GGA) results for crystalline ReGe2TeO at its relaxed geometry.

Geometry as CIF:
```
data_ReGe2TeO
_chemical_formula_sum 'Re1 Ge2 Te1 O1'
_cell_length_a 4.2564
_cell_length_b 4.2564
_cell_length_c 4.6613
_cell_angle_alpha 90.00
_cell_angle_beta 90.00
_cell_angle_gamma 90.00
_space_group_name_H-M_alt 'P 4/m m m'
_space_group_IT_number 123
_space_group_name_Hall '-P 4 2'
loop_
_atom_site_label
_atom_site_type_symbol
_atom_site_fract_x
_atom_site_fract_y
_atom_site_fract_z
Re1 Re 0.0000 0.0000 0.0000
Ge1 Ge 0.0000 0.5000 0.5000
Te1 Te 0.5000 0.5000 0.0000
O1 O 0.5000 0.5000 0.5000
```

ΔE_f (raw), meV/atom: 622
Density of states at the Fermi level, states/eV per cell: 4.02

12.
DFT (PBE-GGA) results for crystalline Zr2Co4P3 at its relaxed geometry.

Geometry as CIF:
```
data_Zr2Co4P3
_chemical_formula_sum 'Zr8 Co16 P12'
_cell_length_a 12.1119
_cell_length_b 12.1119
_cell_length_c 3.6690
_cell_angle_alpha 90.00
_cell_angle_beta 90.00
_cell_angle_gamma 120.00
_space_group_name_H-M_alt 'P -6 2 m'
_space_group_IT_number 189
_space_group_name_Hall 'P -6 -2'
loop_
_atom_site_label
_atom_site_type_symbol
_atom_site_fract_x
_atom_site_fract_y
_atom_site_fract_z
Zr1 Zr 0.0000 0.1767 0.0000
Zr2 Zr 0.0000 0.5562 0.5000
Zr3 Zr 0.3333 0.6667 0.5000
Co1 Co 0.0000 0.0000 0.5000
Co2 Co 0.0000 0.7228 0.0000
Co3 Co 0.1259 0.4806 0.0000
Co4 Co 0.1792 0.8070 0.5000
P1 P 0.0000 0.3457 0.5000
P2 P 0.0000 0.8244 0.5000
P3 P 0.1737 0.6924 0.0000
```

Formation enthalpy at 0 K, meV per atom: -1020
Density of states at the Fermi level, states/eV per cell: 15.42

| no. | electronic total energy (eV/atom) |
| --- | --- |
| 1 | -4.6834 |
| 2 | -5.1111 |
| 3 | -4.0825 |
| 4 | -4.0869 |
| 5 | -7.0451 |
| 6 | -8.0509 |
| 7 | -5.9773 |
| 8 | -6.3454 |
| 9 | -9.5457 |
| 10 | -5.5755 |
| 11 | -5.3341 |
| 12 | -7.8813 |